A relaxed structure of Er2ThZn6, computed with PBE.

Cell: 7.7919 7.7919 3.5050 Å, 90.00 90.00 120.00°
Space group P6/mmm (No. 191)
Asymmetric unit:
Er: 0.3333 0.6667 0.0000 x2
Th: 0.0000 0.0000 0.0000 x1
Zn: 0.0000 0.3382 0.5000 x6

ΔH_f (0 K) (eV/atom): -0.332
Calculated total energy (eV per atom): -3.020
Magnetization (μB/cell): 0.0
V (Å³/cell): 184

A relaxed structure of ErTh2Zn, computed with PBE.

Cell: 3.564 3.564 8.989 Å, 90.00 90.00 90.00°
Space group P4/mmm (No. 123)
Asymmetric unit:
Er: 0.000 0.000 0.000 x1
Th: 0.500 0.500 0.284 x2
Zn: 0.000 0.000 0.500 x1

ΔH_f (0 K) (eV/atom): -0.016
Polymorph energy (0 for the lowest one) (meV/atom): 0
Calculated total energy (eV per atom): -5.185
Magnetization (μB/cell): 0.0
V (Å³/cell): 114

A relaxed structure of ErTh2Zn, computed with PBE.

Cell: 3.3820 3.3820 35.2205 Å, 90.00 90.00 120.00°
Space group R-3m (No. 166, hexagonal axes)
Asymmetric unit:
Er: 0.0000 0.0000 0.0000 x3
Th: 0.0000 0.0000 0.0952 x6
Zn: 0.0000 0.0000 0.5000 x3

ΔH_f (0 K) (eV/atom): 0.225
Polymorph energy (0 for the lowest one) (meV/atom): 241
Calculated total energy (eV per atom): -4.944
Magnetization (μB/cell): 0.0
V (Å³/cell): 349

A relaxed structure of Er2ThZn, computed with PBE.

Cell: 4.731 4.731 4.813 Å, 90.00 90.00 90.00°
Space group P4/mmm (No. 123)
Asymmetric unit:
Er: 0.000 0.500 0.000 x2
Th: 0.000 0.000 0.500 x1
Zn: 0.500 0.500 0.500 x1

ΔH_f (0 K) (eV/atom): 0.010
Polymorph energy (0 for the lowest one) (meV/atom): 179
Calculated total energy (eV per atom): -4.445
Magnetization (μB/cell): 0.0
V (Å³/cell): 108

A relaxed structure of ErThZn6, computed with PBE.

Cell: 4.281 6.000 6.031 Å, 90.00 90.00 90.00°
Space group Pmm2 (No. 25)
Asymmetric unit:
Er: 0.000 0.000 0.000 x1
Th: 0.500 0.500 0.799 x1
Zn: 0.000 0.233 0.531 x2
Zn: 0.000 0.500 0.186 x1
Zn: 0.500 0.000 0.636 x1
Zn: 0.500 0.246 0.267 x2

ΔH_f (0 K) (eV/atom): -0.272
Calculated total energy (eV per atom): -2.725
Magnetization (μB/cell): 0.0
V (Å³/cell): 155

A relaxed structure of ErThZn10, computed with PBE.

Cell: 4.221 5.364 9.232 Å, 90.00 90.00 90.00°
Space group Pmmm (No. 47)
Asymmetric unit:
Er: 0.000 0.000 0.000 x1
Th: 0.000 0.500 0.500 x1
Zn: 0.000 0.000 0.326 x2
Zn: 0.000 0.500 0.159 x2
Zn: 0.500 0.000 0.500 x1
Zn: 0.500 0.252 0.249 x4
Zn: 0.500 0.500 0.000 x1

ΔH_f (0 K) (eV/atom): -0.246
Calculated total energy (eV per atom): -2.306
Magnetization (μB/cell): 0.0
V (Å³/cell): 209

A relaxed structure of Er2ThZn, computed with PBE.

Cell: 3.537 3.537 8.517 Å, 90.00 90.00 90.00°
Space group P4/mmm (No. 123)
Asymmetric unit:
Er: 0.000 0.000 0.210 x2
Th: 0.500 0.500 0.500 x1
Zn: 0.500 0.500 0.000 x1

ΔH_f (0 K) (eV/atom): -0.169
Polymorph energy (0 for the lowest one) (meV/atom): 0
Calculated total energy (eV per atom): -4.624
Magnetization (μB/cell): 0.0
V (Å³/cell): 107

A relaxed structure of ErTh4Zn5, computed with PBE.

Cell: 3.632 3.632 18.295 Å, 90.00 90.00 90.00°
Space group P4/mmm (No. 123)
Asymmetric unit:
Er: 0.000 0.000 0.000 x1
Th: 0.000 0.000 0.196 x2
Th: 0.000 0.000 0.399 x2
Zn: 0.500 0.500 0.089 x2
Zn: 0.500 0.500 0.297 x2
Zn: 0.500 0.500 0.500 x1

ΔH_f (0 K) (eV/atom): -0.206
Calculated total energy (eV per atom): -4.268
Magnetization (μB/cell): 0.0
V (Å³/cell): 241

A relaxed structure of Er4ThZn5, computed with PBE.

Cell: 3.550 3.550 17.939 Å, 90.00 90.00 90.00°
Space group P4/mmm (No. 123)
Asymmetric unit:
Er: 0.000 0.000 0.098 x2
Er: 0.000 0.000 0.294 x2
Th: 0.000 0.000 0.500 x1
Zn: 0.500 0.500 0.000 x1
Zn: 0.500 0.500 0.197 x2
Zn: 0.500 0.500 0.389 x2

ΔH_f (0 K) (eV/atom): -0.310
Calculated total energy (eV per atom): -3.514
Magnetization (μB/cell): 0.0
V (Å³/cell): 226

A relaxed structure of Er2ThZn, computed with PBE.

Cell: 3.5544 3.5544 30.4739 Å, 90.00 90.00 120.00°
Space group R-3m (No. 166, hexagonal axes)
Asymmetric unit:
Er: 0.0000 0.0000 0.2398 x6
Th: 0.0000 0.0000 0.0000 x3
Zn: 0.0000 0.0000 0.5000 x3

ΔH_f (0 K) (eV/atom): -0.069
Polymorph energy (0 for the lowest one) (meV/atom): 100
Calculated total energy (eV per atom): -4.524
Magnetization (μB/cell): 0.0
V (Å³/cell): 333

A relaxed structure of ErTh2Zn4, computed with PBE.

Cell: 5.047 5.047 13.548 Å, 90.00 90.00 90.00°
Space group I4/mmm (No. 139)
Asymmetric unit:
Er: 0.000 0.000 0.000 x2
Th: 0.000 0.000 0.264 x4
Zn: 0.000 0.500 0.105 x8

ΔH_f (0 K) (eV/atom): -0.045
Calculated total energy (eV per atom): -3.545
Magnetization (μB/cell): 0.0
V (Å³/cell): 345

A relaxed structure of Er2ThZn9, computed with PBE.

Cell: 5.4395 5.4395 25.8729 Å, 90.00 90.00 120.00°
Space group R-3m (No. 166, hexagonal axes)
Asymmetric unit:
Er: 0.0000 0.0000 0.1414 x6
Th: 0.0000 0.0000 0.0000 x3
Zn: 0.0000 0.0000 0.3352 x6
Zn: 0.0000 0.0000 0.5000 x3
Zn: 0.0066 0.5033 0.9164 x18

ΔH_f (0 K) (eV/atom): -0.296
Calculated total energy (eV per atom): -2.630
Magnetization (μB/cell): 0.0
V (Å³/cell): 663